[1]
BaBeOs2Pb | Alexandria via LeMat-Bulk | PBE | optimized geometry; calculated formation energy = 3.217 eV per atom; final energy = -0.1156 hartree per atom; total magnetic moment = 2.70 μB per formula unit
1.0
5.189 0.000 0.000
0.000 5.189 0.000
0.000 0.000 6.149
Ba Be Os Pb
1 1 2 1
direct
0.000 0.000 0.000 Ba
0.500 0.500 0.500 Be
0.000 0.500 0.000 Os
0.500 0.000 0.000 Os
0.000 0.000 0.500 Pb

***

[2]
Ba2BeOsPt | Alexandria via LeMat-Bulk | PBE | optimized geometry; calculated formation energy = 0.762 eV per atom; final energy = -0.1546 hartree per atom; total magnetic moment = 0.00 μB per formula unit
1.0
6.125 0.000 0.000
0.000 6.125 0.000
0.000 0.000 4.777
Ba Be Os Pt
2 1 1 1
direct
0.000 0.500 0.000 Ba
0.500 0.000 0.000 Ba
0.000 0.000 0.500 Be
0.500 0.500 0.500 Os
0.500 0.500 0.000 Pt

***

| no. | Fermi-level density of states (states/eV per cell) |
| --- | --- |
| 1 | 6.071 |
| 2 | 3.625 |